[1]
# La3Nd4Dy PBE optimized geometry
data_La3Nd4Dy
_cell_length_a 9.1675
_cell_length_b 9.1675
_cell_length_c 9.1675
_cell_angle_alpha 157.55
_cell_angle_beta 98.24
_cell_angle_gamma 86.13
_symmetry_space_group_name_H-M 'P 1'
_symmetry_Int_Tables_number 1
loop_
_symmetry_equiv_pos_as_xyz
'x,y,z'
loop_
_atom_site_label
_atom_site_type_symbol
_atom_site_fract_x
_atom_site_fract_y
_atom_site_fract_z
La1 La 0.0000 0.0000 0.0000
La2 La 0.2596 0.7596 0.5000
La3 La 0.7404 0.2404 0.5000
Nd1 Nd 0.1198 0.3670 0.7528
Nd2 Nd 0.3858 0.6330 0.7528
Nd3 Nd 0.6142 0.3670 0.2472
Nd4 Nd 0.8802 0.6330 0.2472
Dy1 Dy 0.5000 0.5000 0.0000
# Energy of formation (eV/atom): 0.11
# SG: Immm, No. 71
# Theoretical density (Mg/m³): 6.69
# Total moment (μB/atom): 0.000

---

[2]
# Na3Np3PaSe8 PBE optimized geometry
data_Na3Np3PaSe8
_cell_length_a 8.5139
_cell_length_b 8.5139
_cell_length_c 8.5139
_cell_angle_alpha 58.80
_cell_angle_beta 58.80
_cell_angle_gamma 58.80
_symmetry_space_group_name_H-M 'P 1'
_symmetry_Int_Tables_number 1
loop_
_symmetry_equiv_pos_as_xyz
'x,y,z'
loop_
_atom_site_label
_atom_site_type_symbol
_atom_site_fract_x
_atom_site_fract_y
_atom_site_fract_z
Na1 Na 0.0000 0.5000 0.5000
Na2 Na 0.5000 0.0000 0.5000
Na3 Na 0.5000 0.5000 0.0000
Np1 Np 0.0000 0.0000 0.5000
Np2 Np 0.0000 0.5000 0.0000
Np3 Np 0.5000 0.0000 0.0000
Pa1 Pa 0.5000 0.5000 0.5000
Se1 Se 0.2433 0.2433 0.2433
Se2 Se 0.2489 0.7391 0.7391
Se3 Se 0.2609 0.2609 0.7511
Se4 Se 0.2609 0.7511 0.2609
Se5 Se 0.7391 0.2489 0.7391
Se6 Se 0.7391 0.7391 0.2489
Se7 Se 0.7511 0.2609 0.2609
Se8 Se 0.7567 0.7567 0.7567
# SG: R-3m, No. 166
# Theoretical density (Mg/m³): 6.43
# Total moment (μB/atom): 0.867
# Raw formation energy (meV/atom): -1239

---

[3]
# Na3Sn4Au2 PBE optimized geometry
data_Na3Sn4Au2
_cell_length_a 5.9671
_cell_length_b 5.9671
_cell_length_c 9.6107
_cell_angle_alpha 103.63
_cell_angle_beta 103.63
_cell_angle_gamma 47.78
_symmetry_space_group_name_H-M 'P 1'
_symmetry_Int_Tables_number 1
loop_
_symmetry_equiv_pos_as_xyz
'x,y,z'
loop_
_atom_site_label
_atom_site_type_symbol
_atom_site_fract_x
_atom_site_fract_y
_atom_site_fract_z
Na1 Na 0.0000 0.0000 0.0000
Na2 Na 0.3754 0.3754 0.3066
Na3 Na 0.6246 0.6246 0.6934
Sn1 Sn 0.1035 0.1035 0.4231
Sn2 Sn 0.2841 0.2841 0.9316
Sn3 Sn 0.7159 0.7159 0.0684
Sn4 Sn 0.8965 0.8965 0.5769
Au1 Au 0.3269 0.3269 0.6651
Au2 Au 0.6731 0.6731 0.3349
# Energy of formation (eV/atom): -0.25
# SG: C2/m, No. 12
# Relative energy among the computed polymorphs (meV per atom): 57
# Theoretical density (Mg/m³): 6.36
# Total moment (μB/atom): 0.000

---

[4]
# PtRh3C PBE optimized geometry
data_PtRh3C
_cell_length_a 4.8026
_cell_length_b 4.8026
_cell_length_c 4.8026
_cell_angle_alpha 90.00
_cell_angle_beta 90.00
_cell_angle_gamma 90.00
_symmetry_space_group_name_H-M 'P 1'
_symmetry_Int_Tables_number 1
loop_
_symmetry_equiv_pos_as_xyz
'x,y,z'
loop_
_atom_site_label
_atom_site_type_symbol
_atom_site_fract_x
_atom_site_fract_y
_atom_site_fract_z
Pt1 Pt 0.0000 0.0000 0.0000
Rh1 Rh 0.0000 0.0000 0.5000
Rh2 Rh 0.0000 0.5000 0.0000
Rh3 Rh 0.5000 0.0000 0.0000
C1 C 0.5000 0.5000 0.5000
# Energy of formation (eV/atom): 2.76
# SG: Pm-3m, No. 221
# Relative energy among the computed polymorphs (meV per atom): 2506
# Theoretical density (Mg/m³): 7.73
# Total moment (μB/atom): 0.852

---

[5]
# ZnCu6Ni5 PBE optimized geometry
data_ZnCu6Ni5
_cell_length_a 4.0263
_cell_length_b 5.7085
_cell_length_c 6.3568
_cell_angle_alpha 90.00
_cell_angle_beta 108.27
_cell_angle_gamma 90.00
_symmetry_space_group_name_H-M 'P 1'
_symmetry_Int_Tables_number 1
loop_
_symmetry_equiv_pos_as_xyz
'x,y,z'
loop_
_atom_site_label
_atom_site_type_symbol
_atom_site_fract_x
_atom_site_fract_y
_atom_site_fract_z
Zn1 Zn 0.0000 0.0000 0.0000
Cu1 Cu 0.1688 0.2529 0.3370
Cu2 Cu 0.1688 0.7471 0.3370
Cu3 Cu 0.5000 0.2554 0.0000
Cu4 Cu 0.5000 0.7446 0.0000
Cu5 Cu 0.8312 0.2529 0.6630
Cu6 Cu 0.8312 0.7471 0.6630
Ni1 Ni 0.0000 0.5000 0.0000
Ni2 Ni 0.3331 0.0000 0.6665
Ni3 Ni 0.3336 0.5000 0.6677
Ni4 Ni 0.6664 0.5000 0.3323
Ni5 Ni 0.6669 0.0000 0.3335
# Energy of formation (eV/atom): 0.02
# SG: P2/m, No. 10
# Relative energy among the computed polymorphs (meV per atom): 33
# Theoretical density (Mg/m³): 8.86
# Total moment (μB/atom): 0.000

---

[6]
# RbZrWS2 PBE optimized geometry
data_RbZrWS2
_cell_length_a 5.3696
_cell_length_b 5.3696
_cell_length_c 5.2440
_cell_angle_alpha 90.00
_cell_angle_beta 90.00
_cell_angle_gamma 90.00
_symmetry_space_group_name_H-M 'P 1'
_symmetry_Int_Tables_number 1
loop_
_symmetry_equiv_pos_as_xyz
'x,y,z'
loop_
_atom_site_label
_atom_site_type_symbol
_atom_site_fract_x
_atom_site_fract_y
_atom_site_fract_z
Rb1 Rb 0.0000 0.0000 0.0000
Zr1 Zr 0.0000 0.0000 0.5000
W1 W 0.5000 0.5000 0.5000
S1 S 0.0000 0.5000 0.0000
S2 S 0.5000 0.0000 0.0000
# SG: P4/mmm, No. 123
# Theoretical density (Mg/m³): 4.66
# Total moment (μB/atom): 0.388
# Raw formation energy (meV/atom): 2542